(1)
The following is a meta-GGA SCAN calculation of Tl2CoCl2 at its PBEsol-relaxed geometry, from Alexandria.

a b c (Å): 5.6800 5.6800 5.6800
angles (deg): 100.91 113.92 113.92
Fractional coordinates of all 5 atoms:
Tl 0.5000 0.7500 0.2500
Tl 0.5000 0.2500 0.7500
Co 0.0000 0.0000 0.0000
Cl 0.0000 0.7113 0.7113
Cl 0.0000 0.2887 0.2887

Computed properties:
* spin magnetization: 1.43 Bohr magnetons per cell
* calculated density: 6.45 g cm⁻³
* space-group type: No. 139
* raw total energy: -35.921 eV/atom

=====

(2)
The following is a meta-GGA SCAN calculation of Tl2CoCl at its PBEsol-relaxed geometry, from Alexandria.

a b c (Å): 3.1049 5.3370 5.9806
angles (deg): 116.50 105.04 90.00
Fractional coordinates of all 4 atoms:
Tl 0.9527 0.9527 0.9054
Tl 0.7482 0.2482 0.4963
Co 0.2303 0.7303 0.4606
Cl 0.5688 0.5688 0.1377

Computed properties:
* spin magnetization: 1.93 Bohr magnetons per cell
* calculated density: 9.84 g cm⁻³
* polymorph energy (0 for the lowest one): 0.0 kJ per mole of atoms
* space-group type: No. 44
* raw total energy: -42.544 eV/atom

=====

(3)
The following is a meta-GGA SCAN calculation of Tl2CoCl at its PBEsol-relaxed geometry, from Alexandria.

a b c (Å): 3.5011 3.5011 8.0447
angles (deg): 77.43 77.43 60.00
Fractional coordinates of all 4 atoms:
Tl 0.7625 0.7625 0.7126
Tl 0.2375 0.2375 0.2874
Co 0.5000 0.5000 0.5000
Cl 0.0000 0.0000 0.0000

Computed properties:
* spin magnetization: 1.05 Bohr magnetons per cell
* calculated density: 10.11 g cm⁻³
* polymorph energy (0 for the lowest one): 22.9 kJ per mole of atoms
* space-group type: No. 166
* raw total energy: -42.306 eV/atom

=====

(4)
The following is a meta-GGA SCAN calculation of CoW4Cl at its PBEsol-relaxed geometry, from Alexandria.

a b c (Å): 5.2111 5.2111 5.2111
angles (deg): 60.00 60.00 60.00
Fractional coordinates of all 6 atoms:
Cl 0.7500 0.7500 0.7500
Co 0.0000 0.0000 0.0000
W 0.3752 0.3752 0.3752
W 0.3752 0.3752 0.8744
W 0.8744 0.3752 0.3752
W 0.3752 0.8744 0.3752

Computed properties:
* spin magnetization: 1.12 Bohr magnetons per cell
* calculated density: 13.77 g cm⁻³
* space-group type: No. 216
* raw total energy: -49.317 eV/atom

=====

(5)
The following is a meta-GGA SCAN calculation of YCoCl4 at its PBEsol-relaxed geometry, from Alexandria.

a b c (Å): 5.6414 5.6414 5.6414
angles (deg): 60.00 60.00 60.00
Fractional coordinates of all 6 atoms:
Y 0.0000 0.0000 0.0000
Co 0.7500 0.7500 0.7500
Cl 0.3755 0.3755 0.3755
Cl 0.3755 0.3755 0.8736
Cl 0.8736 0.3755 0.3755
Cl 0.3755 0.8736 0.3755

Computed properties:
* spin magnetization: 3.97 Bohr magnetons per cell
* calculated density: 3.79 g cm⁻³
* space-group type: No. 216
* raw total energy: -12.868 eV/atom

=====

(6)
The following is a meta-GGA SCAN calculation of YCoCl2 at its PBEsol-relaxed geometry, from Alexandria.

a b c (Å): 3.6249 3.6249 7.8851
angles (deg): 76.71 76.71 60.00
Fractional coordinates of all 4 atoms:
Y 0.0000 0.0000 0.0000
Co 0.5000 0.5000 0.5000
Cl 0.8854 0.8854 0.3439
Cl 0.1146 0.1146 0.6561

Computed properties:
* spin magnetization: 1.98 Bohr magnetons per cell
* calculated density: 4.20 g cm⁻³
* polymorph energy (0 for the lowest one): 0.0 kJ per mole of atoms
* space-group type: No. 166
* raw total energy: -16.126 eV/atom

=====

(7)
The following is a meta-GGA SCAN calculation of YCoCl2 at its PBEsol-relaxed geometry, from Alexandria.

a b c (Å): 4.2650 3.5989 4.2781
angles (deg): 90.00 90.00 90.00
Fractional coordinates of all 4 atoms:
Y 0.0000 0.5000 0.5000
Co 0.5000 0.5000 0.0000
Cl 0.0000 0.0000 0.0000
Cl 0.5000 0.0000 0.5000

Computed properties:
* spin magnetization: 1.58 Bohr magnetons per cell
* calculated density: 5.53 g cm⁻³
* polymorph energy (0 for the lowest one): 21.0 kJ per mole of atoms
* space-group type: No. 47
* raw total energy: -15.908 eV/atom

=====

(8)
The following is a meta-GGA SCAN calculation of Y3CoCl at its PBEsol-relaxed geometry, from Alexandria.

a b c (Å): 5.1578 5.1578 5.1578
angles (deg): 90.00 90.00 90.00
Fractional coordinates of all 5 atoms:
Y 0.0000 0.5000 0.0000
Y 0.0000 0.0000 0.5000
Y 0.5000 0.0000 0.0000
Co 0.0000 0.0000 0.0000
Cl 0.5000 0.5000 0.5000

Computed properties:
* spin magnetization: 0.00 Bohr magnetons per cell
* calculated density: 4.37 g cm⁻³
* space-group type: No. 221
* raw total energy: -21.979 eV/atom

=====

(9)
The following is a meta-GGA SCAN calculation of YCoCl2 at its PBEsol-relaxed geometry, from Alexandria.

a b c (Å): 4.3922 3.8440 4.4113
angles (deg): 90.00 93.74 90.00
Fractional coordinates of all 4 atoms:
Y 0.0000 0.5000 0.5000
Co 0.5000 0.5000 0.0000
Cl 0.7161 0.0000 0.7837
Cl 0.2839 0.0000 0.2163

Computed properties:
* spin magnetization: 1.36 Bohr magnetons per cell
* calculated density: 4.89 g cm⁻³
* polymorph energy (0 for the lowest one): 15.7 kJ per mole of atoms
* space-group type: No. 10
* raw total energy: -15.963 eV/atom

=====

(10)
The following is a meta-GGA SCAN calculation of Zr6CoCl15 at its PBEsol-relaxed geometry, from Alexandria.

a b c (Å): 8.7826 8.7826 8.7826
angles (deg): 109.47 109.47 109.47
Fractional coordinates of all 22 atoms:
Zr 0.7595 0.7595 0.0000
Zr 0.2405 0.2405 0.0000
Zr 0.2405 0.0000 0.2405
Zr 0.0000 0.7595 0.7595
Zr 0.0000 0.2405 0.2405
Zr 0.7595 0.0000 0.7595
Co 0.0000 0.0000 0.0000
Cl 0.2486 0.0000 0.7514
Cl 0.5000 0.5000 0.0000
Cl 0.0000 0.5000 0.5000
Cl 0.5000 0.0000 0.5000
Cl 0.7514 0.5028 0.7514
Cl 0.0000 0.7514 0.2486
Cl 0.2486 0.4972 0.2486
Cl 0.4972 0.2486 0.2486
Cl 0.0000 0.2486 0.7514
Cl 0.7514 0.2486 0.0000
Cl 0.2486 0.2486 0.4972
Cl 0.5028 0.7514 0.7514
Cl 0.7514 0.0000 0.2486
Cl 0.2486 0.7514 0.0000
Cl 0.7514 0.7514 0.5028

Computed properties:
* spin magnetization: 0.00 Bohr magnetons per cell
* calculated density: 3.62 g cm⁻³
* space-group type: No. 229
* raw total energy: -16.524 eV/atom

=====

(11)
The following is a meta-GGA SCAN calculation of ZrCo2Cl2 at its PBEsol-relaxed geometry, from Alexandria.

a b c (Å): 3.5460 3.5460 5.9645
angles (deg): 107.29 107.29 90.00
Fractional coordinates of all 5 atoms:
Co 0.2500 0.7500 0.5000
Co 0.7500 0.2500 0.5000
Zr 0.0000 0.0000 0.0000
Cl 0.3751 0.3751 0.7502
Cl 0.6249 0.6249 0.2498

Computed properties:
* spin magnetization: 1.74 Bohr magnetons per cell
* calculated density: 6.83 g cm⁻³
* space-group type: No. 139
* raw total energy: -15.818 eV/atom

=====

(12)
The following is a meta-GGA SCAN calculation of ZrCoCl2 at its PBEsol-relaxed geometry, from Alexandria.

a b c (Å): 3.2608 3.7206 6.4562
angles (deg): 106.74 104.62 90.00
Fractional coordinates of all 4 atoms:
Co 0.5293 0.5294 0.0587
Zr 0.1725 0.6725 0.3451
Cl 0.0192 0.0191 0.0382
Cl 0.7789 0.2789 0.5580

Computed properties:
* spin magnetization: 0.00 Bohr magnetons per cell
* calculated density: 5.07 g cm⁻³
* polymorph energy (0 for the lowest one): 7.0 kJ per mole of atoms
* space-group type: No. 44
* raw total energy: -16.510 eV/atom